Model a:
# Zr2BiTe

Crystalline Zr2BiTe at its relaxed geometry (GGA-PBE, Alexandria via LeMat-Bulk).

magnetic moment = 0.000 μB per atom
crystal system = trigonal

Lattice parameters (Å, degrees): 7.184 7.184 7.184 34.32 34.32 34.32
Positions (direct):
Zr 0.239 0.239 0.239
Zr 0.761 0.761 0.761
Bi 0.000 0.000 0.000
Te 0.500 0.500 0.500

Model b:
# Zr2BiTe

Crystalline Zr2BiTe at its relaxed geometry (GGA-PBE, Alexandria via LeMat-Bulk).

magnetic moment = 0.000 μB per atom
crystal system = cubic

Lattice parameters (Å, degrees): 5.111 5.111 5.111 60.00 60.00 60.00
Positions (direct):
Zr 0.250 0.250 0.250
Zr 0.750 0.750 0.750
Bi 0.000 0.000 0.000
Te 0.500 0.500 0.500

Which is the most stable structure? model b is the most stable.

Model a:
# ZrBi3Te

Crystalline ZrBi3Te at its relaxed geometry (GGA-PBE, Alexandria via LeMat-Bulk).

magnetic moment = 0.178 μB per atom
crystal system = cubic

Lattice parameters (Å, degrees): 5.756 5.756 5.756 90.00 90.00 90.00
Positions (direct):
Zr 0.000 0.000 0.000
Bi 0.000 0.500 0.500
Bi 0.500 0.000 0.500
Bi 0.500 0.500 0.000
Te 0.500 0.500 0.500

Model b:
# ZrBi3Te

Crystalline ZrBi3Te at its relaxed geometry (GGA-PBE, Alexandria via LeMat-Bulk).

magnetic moment = 0.000 μB per atom
crystal system = cubic

Lattice parameters (Å, degrees): 5.666 5.666 5.666 90.00 90.00 90.00
Positions (direct):
Zr 0.000 0.000 0.000
Bi 0.000 0.000 0.500
Bi 0.000 0.500 0.000
Bi 0.500 0.000 0.000
Te 0.500 0.500 0.500

Which is the most stable structure? model b is the most stable.

Model a:
# Th3Bi2

Crystalline Th3Bi2 at its relaxed geometry (GGA-PBE, Alexandria via LeMat-Bulk).

magnetic moment = 0.000 μB per atom
crystal system = orthorhombic

Lattice parameters (Å, degrees): 9.108 8.413 8.637 90.00 90.00 90.00
Positions (direct):
Th 0.000 0.138 0.250
Th 0.000 0.862 0.750
Th 0.156 0.489 0.624
Th 0.156 0.511 0.124
Th 0.344 0.011 0.124
Th 0.344 0.989 0.624
Th 0.500 0.362 0.750
Th 0.500 0.638 0.250
Th 0.656 0.011 0.376
Th 0.656 0.989 0.876
Th 0.844 0.489 0.876
Th 0.844 0.511 0.376
Bi 0.148 0.210 0.884
Bi 0.148 0.790 0.384
Bi 0.352 0.290 0.384
Bi 0.352 0.710 0.884
Bi 0.648 0.290 0.116
Bi 0.648 0.710 0.616
Bi 0.852 0.210 0.616
Bi 0.852 0.790 0.116

Model b:
# Th3Bi2

Crystalline Th3Bi2 at its relaxed geometry (GGA-PBE, Alexandria via LeMat-Bulk).

magnetic moment = 0.000 μB per atom
crystal system = trigonal

Lattice parameters (Å, degrees): 8.618 8.618 8.618 52.67 52.67 52.67
Positions (direct):
Th 0.103 0.750 0.397
Th 0.250 0.603 0.897
Th 0.397 0.103 0.750
Th 0.603 0.897 0.250
Th 0.750 0.397 0.103
Th 0.897 0.250 0.603
Bi 0.171 0.171 0.171
Bi 0.329 0.329 0.329
Bi 0.671 0.671 0.671
Bi 0.829 0.829 0.829

Which is the most stable structure? model a is the most stable.

Model a:
# Th2TiBi

Crystalline Th2TiBi at its relaxed geometry (GGA-PBE, Alexandria via LeMat-Bulk).

magnetic moment = 0.147 μB per atom
crystal system = tetragonal

Lattice parameters (Å, degrees): 4.816 4.816 4.684 90.00 90.00 90.00
Positions (direct):
Th 0.000 0.500 0.000
Th 0.500 0.000 0.000
Ti 0.000 0.000 0.500
Bi 0.500 0.500 0.500

Model b:
# Th2TiBi

Crystalline Th2TiBi at its relaxed geometry (GGA-PBE, Alexandria via LeMat-Bulk).

magnetic moment = 0.398 μB per atom
crystal system = trigonal

Lattice parameters (Å, degrees): 11.964 11.964 11.964 16.19 16.19 16.19
Positions (direct):
Th 0.084 0.084 0.084
Th 0.916 0.916 0.916
Ti 0.000 0.000 0.000
Bi 0.500 0.500 0.500

Which is the most stable structure? model a is the most stable.

Model a:
# ThTiBi2

Crystalline ThTiBi2 at its relaxed geometry (GGA-PBE, Alexandria via LeMat-Bulk).

magnetic moment = 0.444 μB per atom
crystal system = tetragonal

Lattice parameters (Å, degrees): 5.336 5.336 3.873 90.00 90.00 90.00
Positions (direct):
Th 0.000 0.000 0.000
Ti 0.500 0.500 0.000
Bi 0.000 0.500 0.500
Bi 0.500 0.000 0.500

Model b:
# ThTiBi2

Crystalline ThTiBi2 at its relaxed geometry (GGA-PBE, Alexandria via LeMat-Bulk).

magnetic moment = 0.445 μB per atom
crystal system = trigonal

Lattice parameters (Å, degrees): 11.604 11.604 11.604 17.07 17.07 17.07
Positions (direct):
Th 0.000 0.000 0.000
Ti 0.500 0.500 0.500
Bi 0.416 0.416 0.416
Bi 0.584 0.584 0.584

Model c:
# ThTiBi2

Crystalline ThTiBi2 at its relaxed geometry (GGA-PBE, Alexandria via LeMat-Bulk).

magnetic moment = 0.188 μB per atom
crystal system = tetragonal

Lattice parameters (Å, degrees): 3.688 3.688 7.789 90.00 90.00 90.00
Positions (direct):
Th 0.000 0.000 0.000
Ti 0.000 0.000 0.500
Bi 0.500 0.500 0.283
Bi 0.500 0.500 0.717

Which is the most stable structure? model c is the most stable.

Model a:
# ThTi2Bi

Crystalline ThTi2Bi at its relaxed geometry (GGA-PBE, Alexandria via LeMat-Bulk).

magnetic moment = 0.000 μB per atom
crystal system = tetragonal

Lattice parameters (Å, degrees): 4.806 4.806 3.829 90.00 90.00 90.00
Positions (direct):
Th 0.000 0.000 0.000
Ti 0.000 0.500 0.500
Ti 0.500 0.000 0.500
Bi 0.500 0.500 0.000

Model b:
# ThTi2Bi

Crystalline ThTi2Bi at its relaxed geometry (GGA-PBE, Alexandria via LeMat-Bulk).

magnetic moment = 0.000 μB per atom
crystal system = cubic

Lattice parameters (Å, degrees): 4.978 4.978 4.978 60.00 60.00 60.00
Positions (direct):
Th 0.000 0.000 0.000
Ti 0.250 0.250 0.250
Ti 0.750 0.750 0.750
Bi 0.500 0.500 0.500

Which is the most stable structure? model a is the most stable.

Model a:
# ThTl2Bi

Crystalline ThTl2Bi at its relaxed geometry (GGA-PBE, Alexandria via LeMat-Bulk).

magnetic moment = 0.000 μB per atom
crystal system = trigonal

Lattice parameters (Å, degrees): 12.344 12.344 12.344 16.37 16.37 16.37
Positions (direct):
Th 0.000 0.000 0.000
Tl 0.090 0.090 0.090
Tl 0.910 0.910 0.910
Bi 0.500 0.500 0.500

Model b:
# ThTl2Bi

Crystalline ThTl2Bi at its relaxed geometry (GGA-PBE, Alexandria via LeMat-Bulk).

magnetic moment = 0.000 μB per atom
crystal system = tetragonal

Lattice parameters (Å, degrees): 4.816 4.816 5.021 90.00 90.00 90.00
Positions (direct):
Th 0.000 0.000 0.000
Tl 0.000 0.500 0.500
Tl 0.500 0.000 0.500
Bi 0.500 0.500 0.000

Which is the most stable structure? model b is the most stable.

Model a:
# TmTh2Bi

Crystalline TmTh2Bi at its relaxed geometry (GGA-PBE, Alexandria via LeMat-Bulk).

magnetic moment = 0.000 μB per atom
crystal system = tetragonal

Lattice parameters (Å, degrees): 4.759 4.759 5.260 90.00 90.00 90.00
Positions (direct):
Tm 0.000 0.000 0.000
Th 0.000 0.500 0.500
Th 0.500 0.000 0.500
Bi 0.500 0.500 0.000

Model b:
# TmTh2Bi

Crystalline TmTh2Bi at its relaxed geometry (GGA-PBE, Alexandria via LeMat-Bulk).

magnetic moment = 0.000 μB per atom
crystal system = trigonal

Lattice parameters (Å, degrees): 12.654 12.654 12.654 15.89 15.89 15.89
Positions (direct):
Tm 0.000 0.000 0.000
Th 0.412 0.412 0.412
Th 0.588 0.588 0.588
Bi 0.500 0.500 0.500

Which is the most stable structure? model a is the most stable.

Model a:
# YTh2Bi3

Crystalline YTh2Bi3 at its relaxed geometry (GGA-PBE, Alexandria via LeMat-Bulk).

magnetic moment = 0.000 μB per atom
crystal system = monoclinic

Lattice parameters (Å, degrees): 8.963 8.963 11.033 106.76 106.76 29.47
Positions (direct):
Y 0.000 0.000 0.000
Y 0.500 0.500 0.500
Th 0.167 0.167 0.834
Th 0.332 0.332 0.663
Th 0.668 0.668 0.337
Th 0.833 0.833 0.166
Bi 0.134 0.134 0.528
Bi 0.192 0.192 0.139
Bi 0.473 0.473 0.193
Bi 0.527 0.527 0.807
Bi 0.808 0.808 0.861
Bi 0.866 0.866 0.472

Model b:
# YTh2Bi3

Crystalline YTh2Bi3 at its relaxed geometry (GGA-PBE, Alexandria via LeMat-Bulk).

magnetic moment = 0.000 μB per atom
crystal system = orthorhombic

Lattice parameters (Å, degrees): 7.909 7.909 7.909 146.55 131.80 59.94
Positions (direct):
Y 0.000 0.000 0.000
Th 0.332 0.332 0.000
Th 0.668 0.668 0.000
Bi 0.161 0.661 0.500
Bi 0.500 0.000 0.500
Bi 0.839 0.339 0.500

Which is the most stable structure? model b is the most stable.

Model a:
# YTh2Bi

Crystalline YTh2Bi at its relaxed geometry (GGA-PBE, Alexandria via LeMat-Bulk).

magnetic moment = 0.000 μB per atom
crystal system = trigonal

Lattice parameters (Å, degrees): 12.754 12.754 12.754 15.83 15.83 15.83
Positions (direct):
Y 0.000 0.000 0.000
Th 0.413 0.413 0.413
Th 0.587 0.587 0.587
Bi 0.500 0.500 0.500

Model b:
# YTh2Bi

Crystalline YTh2Bi at its relaxed geometry (GGA-PBE, Alexandria via LeMat-Bulk).

magnetic moment = 0.000 μB per atom
crystal system = tetragonal

Lattice parameters (Å, degrees): 4.753 4.753 5.344 90.00 90.00 90.00
Positions (direct):
Y 0.000 0.000 0.000
Th 0.000 0.500 0.500
Th 0.500 0.000 0.500
Bi 0.500 0.500 0.000

Which is the most stable structure? model b is the most stable.

Model a:
# Y2ThBi

Crystalline Y2ThBi at its relaxed geometry (GGA-PBE, Alexandria via LeMat-Bulk).

magnetic moment = 0.000 μB per atom
crystal system = tetragonal

Lattice parameters (Å, degrees): 3.981 3.981 7.566 90.00 90.00 90.00
Positions (direct):
Y 0.000 0.000 0.225
Y 0.000 0.000 0.775
Th 0.500 0.500 0.500
Bi 0.500 0.500 0.000

Model b:
# Y2ThBi

Crystalline Y2ThBi at its relaxed geometry (GGA-PBE, Alexandria via LeMat-Bulk).

magnetic moment = 0.000 μB per atom
crystal system = tetragonal

Lattice parameters (Å, degrees): 5.032 5.032 4.683 90.00 90.00 90.00
Positions (direct):
Y 0.000 0.500 0.000
Y 0.500 0.000 0.000
Th 0.000 0.000 0.500
Bi 0.500 0.500 0.500

Model c:
# Y2ThBi

Crystalline Y2ThBi at its relaxed geometry (GGA-PBE, Alexandria via LeMat-Bulk).

magnetic moment = 0.000 μB per atom
crystal system = trigonal

Lattice parameters (Å, degrees): 10.972 10.972 10.972 19.13 19.13 19.13
Positions (direct):
Y 0.247 0.247 0.247
Y 0.753 0.753 0.753
Th 0.000 0.000 0.000
Bi 0.500 0.500 0.500

Which is the most stable structure? model a is the most stable.

Model a:
# Th4ZnBi

Crystalline Th4ZnBi at its relaxed geometry (GGA-PBE, Alexandria via LeMat-Bulk).

magnetic moment = 0.000 μB per atom
crystal system = monoclinic

Lattice parameters (Å, degrees): 8.763 8.763 7.760 105.83 105.83 41.28
Positions (direct):
Th 0.025 0.815 0.529
Th 0.185 0.975 0.971
Th 0.208 0.448 0.876
Th 0.448 0.208 0.376
Th 0.552 0.792 0.624
Th 0.792 0.552 0.124
Th 0.815 0.025 0.029
Th 0.975 0.185 0.471
Zn 0.000 0.500 0.500
Zn 0.500 0.000 0.000
Bi 0.401 0.599 0.250
Bi 0.599 0.401 0.750

Model b:
# Th4ZnBi

Crystalline Th4ZnBi at its relaxed geometry (GGA-PBE, Alexandria via LeMat-Bulk).

magnetic moment = 0.000 μB per atom
crystal system = tetragonal

Lattice parameters (Å, degrees): 7.599 7.599 6.271 90.00 90.00 90.00
Positions (direct):
Th 0.144 0.333 0.000
Th 0.144 0.667 0.500
Th 0.333 0.144 0.500
Th 0.333 0.856 0.000
Th 0.667 0.144 0.000
Th 0.667 0.856 0.500
Th 0.856 0.333 0.500
Th 0.856 0.667 0.000
Zn 0.000 0.000 0.250
Zn 0.000 0.000 0.750
Bi 0.500 0.500 0.250
Bi 0.500 0.500 0.750

Which is the most stable structure? model b is the most stable.